1.
DFT (PBE-GGA) results for an optimized crystal structure of La4GaOs.

CIF file:
```
data_La4GaOs
_cell_length_a 9.0496
_cell_length_b 14.0334
_cell_length_c 6.3266
_cell_angle_alpha 90.00
_cell_angle_beta 116.89
_cell_angle_gamma 90.00
_space_group_name_H-M_alt 'C 1 2/c 1'
_space_group_IT_number 15
loop_
_space_group_symop_operation_xyz
'x,y,z'
'-x,-y,-z'
'-x,y,-z+1/2'
'x,-y,z+1/2'
'x+1/2,y+1/2,z'
'-x+1/2,-y+1/2,-z'
'-x+1/2,y+1/2,-z+1/2'
'x+1/2,-y+1/2,z+1/2'
loop_
_atom_site_label
_atom_site_type_symbol
_atom_site_fract_x
_atom_site_fract_y
_atom_site_fract_z
La1 La 0.1178 0.1789 0.0750
La2 La 0.2169 0.4315 0.3260
Ga1 Ga 0.0000 0.3757 0.7500
Os1 Os 0.0000 0.0009 0.2500
```

2.
DFT (PBE-GGA) results for an optimized crystal structure of La3Ga3Os.

CIF file:
```
data_La3Ga3Os
_cell_length_a 11.6848
_cell_length_b 4.1137
_cell_length_c 15.3566
_cell_angle_alpha 90.00
_cell_angle_beta 106.60
_cell_angle_gamma 90.00
_space_group_name_H-M_alt 'C 1 2/m 1'
_space_group_IT_number 12
loop_
_space_group_symop_operation_xyz
'x,y,z'
'-x,-y,-z'
'-x,y,-z'
'x,-y,z'
'x+1/2,y+1/2,z'
'-x+1/2,-y+1/2,-z'
'-x+1/2,y+1/2,-z'
'x+1/2,-y+1/2,z'
loop_
_atom_site_label
_atom_site_type_symbol
_atom_site_fract_x
_atom_site_fract_y
_atom_site_fract_z
La1 La 0.0241 0.0000 0.3901
La2 La 0.1199 0.0000 0.9198
La3 La 0.2366 0.0000 0.2406
Ga1 Ga 0.0243 0.5000 0.2301
Ga2 Ga 0.0967 0.5000 0.0741
Ga3 Ga 0.1758 0.5000 0.5378
Os1 Os 0.2169 0.5000 0.3733
```

3.
DFT (PBE-GGA) results for an optimized crystal structure of La6GaOs2.

CIF file:
```
data_La6GaOs2
_cell_length_a 12.4999
_cell_length_b 5.6624
_cell_length_c 9.7406
_cell_angle_alpha 90.00
_cell_angle_beta 129.28
_cell_angle_gamma 90.00
_space_group_name_H-M_alt 'C 1 2/m 1'
_space_group_IT_number 12
loop_
_space_group_symop_operation_xyz
'x,y,z'
'-x,-y,-z'
'-x,y,-z'
'x,-y,z'
'x+1/2,y+1/2,z'
'-x+1/2,-y+1/2,-z'
'-x+1/2,y+1/2,-z'
'x+1/2,-y+1/2,z'
loop_
_atom_site_label
_atom_site_type_symbol
_atom_site_fract_x
_atom_site_fract_y
_atom_site_fract_z
La1 La 0.0073 0.0000 0.1641
La2 La 0.1213 0.5000 0.4723
La3 La 0.2134 0.5000 0.1196
Ga1 Ga 0.0000 0.0000 0.5000
Os1 Os 0.2204 0.5000 0.8083
```

4.
DFT (PBE-GGA) results for an optimized crystal structure of La2Ga6Os.

CIF file:
```
data_La2Ga6Os
_cell_length_a 6.1579
_cell_length_b 6.1579
_cell_length_c 5.6159
_cell_angle_alpha 90.00
_cell_angle_beta 90.00
_cell_angle_gamma 120.00
_space_group_name_H-M_alt 'P -3 m 1'
_space_group_IT_number 164
_space_group_name_Hall '-P 3 2"'
loop_
_atom_site_label
_atom_site_type_symbol
_atom_site_fract_x
_atom_site_fract_y
_atom_site_fract_z
La1 La 0.3333 0.6667 0.1968
Ga1 Ga 0.1703 0.3406 0.6837
Os1 Os 0.0000 0.0000 0.0000
```

5.
DFT (PBE-GGA) results for an optimized crystal structure of LaGaOs3.

CIF file:
```
data_LaGaOs3
_cell_length_a 4.9548
_cell_length_b 4.9548
_cell_length_c 4.9548
_cell_angle_alpha 90.00
_cell_angle_beta 90.00
_cell_angle_gamma 90.00
_space_group_name_H-M_alt 'P m -3 m'
_space_group_IT_number 221
_space_group_name_Hall '-P 4 2 3'
loop_
_atom_site_label
_atom_site_type_symbol
_atom_site_fract_x
_atom_site_fract_y
_atom_site_fract_z
La1 La 0.0000 0.0000 0.0000
Ga1 Ga 0.5000 0.5000 0.5000
Os1 Os 0.0000 0.0000 0.5000
```

6.
DFT (PBE-GGA) results for an optimized crystal structure of La3Ga9Os2.

CIF file:
```
data_La3Ga9Os2
_cell_length_a 4.4017
_cell_length_b 9.5781
_cell_length_c 12.9638
_cell_angle_alpha 90.00
_cell_angle_beta 90.00
_cell_angle_gamma 90.00
_space_group_name_H-M_alt 'I m m m'
_space_group_IT_number 71
_space_group_name_Hall '-I 2 2'
loop_
_atom_site_label
_atom_site_type_symbol
_atom_site_fract_x
_atom_site_fract_y
_atom_site_fract_z
La1 La 0.0000 0.0000 0.0000
La2 La 0.0000 0.0000 0.2989
Ga1 Ga 0.0000 0.2830 0.1262
Ga2 Ga 0.0000 0.3590 0.3490
Ga3 Ga 0.0000 0.5000 0.0000
Os1 Os 0.0000 0.1767 0.5000
```

7.
DFT (PBE-GGA) results for an optimized crystal structure of La2GaOs2.

CIF file:
```
data_La2GaOs2
_cell_length_a 6.9274
_cell_length_b 6.9274
_cell_length_c 4.6898
_cell_angle_alpha 90.00
_cell_angle_beta 90.00
_cell_angle_gamma 90.00
_space_group_name_H-M_alt 'P 4/m b m'
_space_group_IT_number 127
_space_group_name_Hall '-P 4 2ab'
loop_
_atom_site_label
_atom_site_type_symbol
_atom_site_fract_x
_atom_site_fract_y
_atom_site_fract_z
La1 La 0.1835 0.3165 0.0000
Ga1 Ga 0.0000 0.0000 0.5000
Os1 Os 0.1254 0.6254 0.5000
```

8.
DFT (PBE-GGA) results for an optimized crystal structure of La6GaOs2.

CIF file:
```
data_La6GaOs2
_cell_length_a 16.1758
_cell_length_b 10.5053
_cell_length_c 6.4718
_cell_angle_alpha 90.00
_cell_angle_beta 104.25
_cell_angle_gamma 90.00
_space_group_name_H-M_alt 'C 1 2/c 1'
_space_group_IT_number 15
loop_
_space_group_symop_operation_xyz
'x,y,z'
'-x,-y,-z'
'-x,y,-z+1/2'
'x,-y,z+1/2'
'x+1/2,y+1/2,z'
'-x+1/2,-y+1/2,-z'
'-x+1/2,y+1/2,-z+1/2'
'x+1/2,-y+1/2,z+1/2'
loop_
_atom_site_label
_atom_site_type_symbol
_atom_site_fract_x
_atom_site_fract_y
_atom_site_fract_z
La1 La 0.1048 0.0711 0.1608
La2 La 0.1055 0.4298 0.1631
La3 La 0.1927 0.2498 0.7169
Ga1 Ga 0.0000 0.2524 0.7500
Os1 Os 0.2495 0.0042 0.9992
```

9.
DFT (PBE-GGA) results for an optimized crystal structure of La8GaOs2.

CIF file:
```
data_La8GaOs2
_cell_length_a 8.8174
_cell_length_b 13.8525
_cell_length_c 5.8169
_cell_angle_alpha 90.00
_cell_angle_beta 105.96
_cell_angle_gamma 90.00
_space_group_name_H-M_alt 'C 1 m 1'
_space_group_IT_number 8
loop_
_space_group_symop_operation_xyz
'x,y,z'
'x,-y,z'
'x+1/2,y+1/2,z'
'x+1/2,-y+1/2,z'
loop_
_atom_site_label
_atom_site_type_symbol
_atom_site_fract_x
_atom_site_fract_y
_atom_site_fract_z
La1 La 0.0000 0.0000 0.0000
La2 La 0.0968 0.3749 0.7514
La3 La 0.1877 0.1249 0.6450
La4 La 0.2840 0.5000 0.3957
La5 La 0.3932 0.2427 0.1980
Ga1 Ga 0.3920 0.0000 0.1985
Os1 Os 0.3918 0.2955 0.6973
```

10.
DFT (PBE-GGA) results for an optimized crystal structure of LaGa2Os.

CIF file:
```
data_LaGa2Os
_cell_length_a 4.2994
_cell_length_b 4.2994
_cell_length_c 15.8744
_cell_angle_alpha 90.00
_cell_angle_beta 90.00
_cell_angle_gamma 120.00
_space_group_name_H-M_alt 'R -3 m'
_space_group_IT_number 166
_space_group_name_Hall '-R 3 2"'
loop_
_atom_site_label
_atom_site_type_symbol
_atom_site_fract_x
_atom_site_fract_y
_atom_site_fract_z
La1 La 0.0000 0.0000 0.0000
Ga1 Ga 0.0000 0.0000 0.2103
Os1 Os 0.0000 0.0000 0.5000
```

11.
DFT (PBE-GGA) results for an optimized crystal structure of LaGa2Os2.

CIF file:
```
data_LaGa2Os2
_cell_length_a 7.5872
_cell_length_b 7.5872
_cell_length_c 3.0466
_cell_angle_alpha 90.00
_cell_angle_beta 90.00
_cell_angle_gamma 90.00
_space_group_name_H-M_alt 'P 4/m b m'
_space_group_IT_number 127
_space_group_name_Hall '-P 4 2ab'
loop_
_atom_site_label
_atom_site_type_symbol
_atom_site_fract_x
_atom_site_fract_y
_atom_site_fract_z
La1 La 0.0000 0.0000 0.0000
Ga1 Ga 0.1441 0.3559 0.5000
Os1 Os 0.1475 0.6475 0.0000
```

12.
DFT (PBE-GGA) results for an optimized crystal structure of La3Ga8Os3.

CIF file:
```
data_La3Ga8Os3
_cell_length_a 4.3398
_cell_length_b 10.0040
_cell_length_c 12.7492
_cell_angle_alpha 90.00
_cell_angle_beta 90.00
_cell_angle_gamma 90.00
_space_group_name_H-M_alt 'I m m m'
_space_group_IT_number 71
_space_group_name_Hall '-I 2 2'
loop_
_atom_site_label
_atom_site_type_symbol
_atom_site_fract_x
_atom_site_fract_y
_atom_site_fract_z
La1 La 0.0000 0.0000 0.0000
La2 La 0.0000 0.0000 0.3298
Ga1 Ga 0.0000 0.2869 0.1176
Ga2 Ga 0.0000 0.3606 0.3302
Os1 Os 0.0000 0.2269 0.5000
Os2 Os 0.0000 0.5000 0.0000
```

Number 1: M_tot 0.0000 μB per atom, E_form -1.779 eV per formula unit. Number 2: M_tot 0.0000 μB per atom, E_form -3.335 eV per formula unit. Number 3: M_tot 0.0000 μB per atom, E_form -0.995 eV per formula unit. Number 4: M_tot 0.0000 μB per atom, E_form -4.440 eV per formula unit. Number 5: M_tot 0.7889 μB per atom, E_form 13.978 eV per formula unit. Number 6: M_tot 0.0000 μB per atom, E_form -6.529 eV per formula unit. Number 7: M_tot 0.0000 μB per atom, E_form -0.439 eV per formula unit. Number 8: M_tot 0.0000 μB per atom, E_form -1.929 eV per formula unit. Number 9: M_tot 0.0000 μB per atom, E_form -1.373 eV per formula unit. Number 10: M_tot 0.0000 μB per atom, E_form -1.417 eV per formula unit. Number 11: M_tot 0.0000 μB per atom, E_form -0.105 eV per formula unit. Number 12: M_tot 0.0000 μB per atom, E_form -5.857 eV per formula unit.